# 1
## CsPaBe2Cl8 (PBE)

Data for an optimized crystal structure of CsPaBe2Cl8.

Computed properties:
**Space group**: R-3, No. 148
**Energy**: -4.302 eV/atom

Cell lengths 11.0174, 11.0174, 11.0174 Å; angles 33.49, 33.49, 33.49 degrees
Fractional coordinates of all 12 atoms:
Cs 0.0000 0.0000 0.0000
Pa 0.5000 0.5000 0.5000
Be 0.2444 0.2444 0.2444
Be 0.7556 0.7556 0.7556
Cl 0.0807 0.7865 0.4705
Cl 0.2135 0.5295 0.9193
Cl 0.3070 0.3070 0.3070
Cl 0.4705 0.0807 0.7865
Cl 0.5295 0.9193 0.2135
Cl 0.6930 0.6930 0.6930
Cl 0.7865 0.4705 0.0807
Cl 0.9193 0.2135 0.5295

=====

# 2
## CsBePbCl5 (PBE)

Data for an optimized crystal structure of CsBePbCl5.

Computed properties:
**Space group**: C2/c, No. 15
**Energy**: -3.655 eV/atom

Cell lengths 7.7578, 7.7578, 10.1904 Å; angles 104.97, 104.97, 106.22 degrees
Fractional coordinates of all 16 atoms:
Cs 0.1447 0.8553 0.7500
Cs 0.8553 0.1447 0.2500
Be 0.1924 0.8076 0.2500
Be 0.8076 0.1924 0.7500
Pb 0.5000 0.5000 0.0000
Pb 0.5000 0.5000 0.5000
Cl 0.0729 0.2651 0.9052
Cl 0.1839 0.6145 0.3559
Cl 0.2651 0.0729 0.4052
Cl 0.3855 0.8161 0.1441
Cl 0.4103 0.5897 0.7500
Cl 0.5897 0.4103 0.2500
Cl 0.6145 0.1839 0.8559
Cl 0.7349 0.9271 0.5948
Cl 0.8161 0.3855 0.6441
Cl 0.9271 0.7349 0.0948

=====

# 3
## CsBe2PbCl8 (PBE)

Data for an optimized crystal structure of CsBe2PbCl8.

Computed properties:
**Space group**: R32, No. 155
**Energy**: -3.525 eV/atom

Cell lengths 11.0100, 11.0100, 11.0100 Å; angles 33.10, 33.10, 33.10 degrees
Fractional coordinates of all 12 atoms:
Cs 0.0000 0.0000 0.0000
Be 0.2457 0.2457 0.2457
Be 0.7543 0.7543 0.7543
Pb 0.5000 0.5000 0.5000
Cl 0.0857 0.4652 0.7731
Cl 0.2269 0.5348 0.9143
Cl 0.3093 0.3093 0.3093
Cl 0.4652 0.7731 0.0857
Cl 0.5348 0.9143 0.2269
Cl 0.6907 0.6907 0.6907
Cl 0.7731 0.0857 0.4652
Cl 0.9143 0.2269 0.5348

=====

# 4
## CsPmBe2Cl8 (PBE)

Data for an optimized crystal structure of CsPmBe2Cl8.

Computed properties:
**Space group**: R-3, No. 148
**Energy**: -4.128 eV/atom

Cell lengths 10.8715, 10.8715, 10.8715 Å; angles 33.82, 33.82, 33.82 degrees
Fractional coordinates of all 12 atoms:
Cs 0.0000 0.0000 0.0000
Pm 0.5000 0.5000 0.5000
Be 0.2436 0.2436 0.2436
Be 0.7564 0.7564 0.7564
Cl 0.0857 0.4724 0.7824
Cl 0.2176 0.9143 0.5276
Cl 0.3071 0.3071 0.3071
Cl 0.4724 0.7824 0.0857
Cl 0.5276 0.2176 0.9143
Cl 0.6929 0.6929 0.6929
Cl 0.7824 0.0857 0.4724
Cl 0.9143 0.5276 0.2176

=====

# 5
## CsPuBe2Cl8 (PBE)

Data for an optimized crystal structure of CsPuBe2Cl8.

Computed properties:
**Space group**: R-3, No. 148
**Energy**: -4.799 eV/atom

Cell lengths 11.0285, 11.0285, 11.0285 Å; angles 33.10, 33.10, 33.10 degrees
Fractional coordinates of all 12 atoms:
Cs 0.0000 0.0000 0.0000
Pu 0.5000 0.5000 0.5000
Be 0.2436 0.2436 0.2436
Be 0.7564 0.7564 0.7564
Cl 0.0881 0.4709 0.7803
Cl 0.2197 0.9119 0.5291
Cl 0.3061 0.3061 0.3061
Cl 0.4709 0.7803 0.0881
Cl 0.5291 0.2197 0.9119
Cl 0.6939 0.6939 0.6939
Cl 0.7803 0.0881 0.4709
Cl 0.9119 0.5291 0.2197

=====

# 6
## CsRb2BeCl6 (PBE)

Data for an optimized crystal structure of CsRb2BeCl6.

Computed properties:
**Space group**: Fm-3m, No. 225
**Energy**: -3.134 eV/atom

Cell lengths 7.8095, 7.8095, 7.8095 Å; angles 60.00, 60.00, 60.00 degrees
Fractional coordinates of all 10 atoms:
Cs 0.0000 0.0000 0.0000
Rb 0.2500 0.2500 0.2500
Rb 0.7500 0.7500 0.7500
Be 0.5000 0.5000 0.5000
Cl 0.2944 0.2944 0.7056
Cl 0.2944 0.7056 0.2944
Cl 0.2944 0.7056 0.7056
Cl 0.7056 0.2944 0.2944
Cl 0.7056 0.2944 0.7056
Cl 0.7056 0.7056 0.2944

=====

# 7
## Cs2BeRhCl6 (PBE)

Data for an optimized crystal structure of Cs2BeRhCl6.

Computed properties:
**Space group**: I4/mmm, No. 139
**Energy**: -3.533 eV/atom

Cell lengths 7.4272, 7.4272, 7.4272 Å; angles 125.27, 125.27, 81.09 degrees
Fractional coordinates of all 10 atoms:
Cs 0.2500 0.7500 0.5000
Cs 0.7500 0.2500 0.5000
Be 0.0000 0.0000 0.0000
Rh 0.5000 0.5000 0.0000
Cl 0.2263 0.2263 0.4525
Cl 0.2263 0.7737 0.0000
Cl 0.2907 0.2907 0.0000
Cl 0.7093 0.7093 0.0000
Cl 0.7737 0.2263 0.0000
Cl 0.7737 0.7737 0.5475

=====

# 8
## CsBeS2Cl (PBE)

Data for an optimized crystal structure of CsBeS2Cl.

Computed properties:
**Space group**: P4/mmm, No. 123
**Energy**: -1.653 eV/atom

Cell lengths 5.4832, 5.4832, 6.3041 Å; angles 90.00, 90.00, 90.00 degrees
Fractional coordinates of all 5 atoms:
Cs 0.0000 0.0000 0.0000
Be 0.5000 0.5000 0.5000
S 0.0000 0.5000 0.0000
S 0.5000 0.0000 0.0000
Cl 0.0000 0.0000 0.5000

=====

# 9
## CsBeSCl2 (PBE)

Data for an optimized crystal structure of CsBeSCl2.

Computed properties:
**Space group**: P4/mmm, No. 123
**Energy**: -1.708 eV/atom

Cell lengths 6.3457, 6.3457, 5.6693 Å; angles 90.00, 90.00, 90.00 degrees
Fractional coordinates of all 5 atoms:
Cs 0.0000 0.0000 0.0000
Be 0.5000 0.5000 0.5000
S 0.0000 0.0000 0.5000
Cl 0.0000 0.5000 0.0000
Cl 0.5000 0.0000 0.0000

=====

# 10
## CsBeSCl2 (PBE)

Data for an optimized crystal structure of CsBeSCl2.

Computed properties:
**Space group**: P4/mmm, No. 123
**Energy**: -3.331 eV/atom

Cell lengths 5.3633, 5.3633, 4.1784 Å; angles 90.00, 90.00, 90.00 degrees
Fractional coordinates of all 5 atoms:
Cs 0.0000 0.0000 0.0000
Be 0.5000 0.5000 0.5000
S 0.5000 0.5000 0.0000
Cl 0.0000 0.5000 0.5000
Cl 0.5000 0.0000 0.5000

=====

These records have V values of 363; 532; 354; 355; 356; 337; 263; 190; 228; 120 Å³/cell, in the order they appear.
These records have calculated density values of 3.0; 3.3; 3.0; 2.7; 3.2; 2.6; 3.7; 2.1; 1.8; 3.4 g/cm3, in the order they appear.
These records have formation energy from raw total energies values of -153.13; -141.36; -124.76; -174.52; -162.23; -132.62; -110.67; 123.86; 74.46; -82.13 kJ per mole of atoms, in the order they appear.